No. 1
Entry from Alexandria: a relaxed structure of InReAu2 (GGA-PBE).

a b c (Å): 4.677 4.677 4.677
angles (deg): 60.00 60.00 60.00
Atoms (fractional coordinates):
In 0.000 0.000 0.000
Re 0.250 0.250 0.250
Au 0.500 0.500 0.500
Au 0.750 0.750 0.750

density of states at the Fermi level: 3.74 states/eV/f.u.
symmetry: No. 216
electronic total energy: -4.83 eV/atom

No. 2
Entry from Alexandria: a relaxed structure of InReAu2 (GGA-PBE).

a b c (Å): 4.998 4.998 4.998
angles (deg): 130.01 130.01 73.39
Atoms (fractional coordinates):
In 0.000 0.000 0.000
Re 0.500 0.500 0.000
Au 0.250 0.750 0.500
Au 0.750 0.250 0.500

density of states at the Fermi level: 3.61 states/eV/f.u.
symmetry: No. 139
electronic total energy: -4.86 eV/atom

No. 3
Entry from Alexandria: a relaxed structure of InReAu (GGA-PBE).

a b c (Å): 5.362 5.362 5.362
angles (deg): 149.39 136.26 54.33
Atoms (fractional coordinates):
In 0.000 0.000 0.000
Re 0.668 0.668 0.000
Au 0.325 0.325 0.000

density of states at the Fermi level: 2.80 states/eV/f.u.
symmetry: No. 44
electronic total energy: -5.51 eV/atom

No. 4
Entry from Alexandria: a relaxed structure of InReAu2 (GGA-PBE).

a b c (Å): 9.544 9.544 9.544
angles (deg): 17.88 17.88 17.88
Atoms (fractional coordinates):
In 0.000 0.000 0.000
Re 0.250 0.250 0.250
Au 0.506 0.506 0.506
Au 0.753 0.753 0.753

density of states at the Fermi level: 1.33 states/eV/f.u.
symmetry: No. 160
electronic total energy: -5.08 eV/atom

No. 5
Entry from Alexandria: a relaxed structure of InReAu (GGA-PBE).

a b c (Å): 7.734 7.461 2.916
angles (deg): 84.25 73.72 22.03
Atoms (fractional coordinates):
In 0.000 0.000 0.000
Re 0.335 0.335 0.665
Au 0.672 0.672 0.328

density of states at the Fermi level: 2.25 states/eV/f.u.
symmetry: No. 42
electronic total energy: -5.57 eV/atom

No. 6
Entry from Alexandria: a relaxed structure of InReAu2 (GGA-PBE).

a b c (Å): 2.851 4.210 5.978
angles (deg): 90.00 90.45 90.00
Atoms (fractional coordinates):
In 0.000 0.000 0.000
Re 0.000 0.000 0.500
Au 0.497 0.500 0.265
Au 0.503 0.500 0.735

density of states at the Fermi level: 3.52 states/eV/f.u.
symmetry: No. 10
electronic total energy: -4.96 eV/atom

> Number 5 is which compound?

InReAu

> What is the formula in the first record?

InReAu2